Computed, not measured: an optimized crystal structure of Cs2CeI4Cl2 at the PBE level of DFT.

```
Cs2CeI4Cl2
1.0
6.994 -0.186 -0.127
1.328 8.069 0.334
1.328 3.273 7.383
Cs Ce I Cl
2 1 4 2
direct
0.205 0.664 0.664
0.795 0.336 0.336
0.500 0.000 0.000
0.293 0.647 0.157
0.707 0.843 0.353
0.707 0.353 0.843
0.293 0.157 0.647
0.221 0.148 0.148
0.779 0.852 0.852
```

Values from the calculation:
**Magnetization**: 0.00 μB/f.u.
**Formation energy from raw total energies**: -14.346 eV per formula unit
**Electronic total energy**: -0.2604 Ry/atom

***

Computed, not measured: an optimized crystal structure of Tb8IrPt2 at the PBE level of DFT.

```
Tb8IrPt2
1.0
-3.012 2.237 4.801
3.785 -5.747 3.210
4.537 5.842 -1.717
Tb Ir Pt
8 1 2
direct
0.583 0.341 0.082
0.583 0.082 0.341
0.169 0.357 0.357
0.987 0.209 0.792
0.987 0.792 0.209
0.807 0.649 0.649
0.371 0.924 0.665
0.371 0.665 0.924
0.167 0.003 0.003
0.488 0.691 0.320
0.488 0.320 0.691
```

Values from the calculation:
**Magnetization**: 0.00 μB/f.u.
**ΔH_f (0 K)**: -0.57 eV per atom
**Electronic total energy**: -0.4290 Ry/atom

***

Computed, not measured: an optimized crystal structure of La3Tb3Pm2 at the PBE level of DFT.

```
La3Tb3Pm2
1.0
5.121 0.000 0.000
0.000 5.181 0.000
-2.561 -2.590 10.390
La Tb Pm
3 3 2
direct
0.623 0.623 0.246
0.377 0.377 0.754
0.500 0.000 0.000
0.127 0.127 0.253
0.000 0.500 0.000
0.873 0.873 0.747
0.749 0.249 0.498
0.251 0.751 0.502
```

Values from the calculation:
**Magnetization**: 0.00 μB/f.u.
**ΔH_f (0 K)**: 0.02 eV per atom
**Electronic total energy**: -0.3490 Ry/atom